# 1
{
  "formula": "Li4Y3ErSe8",
  "functional": "PBE",
  "state": "optimized geometry",
  "dft_energy_ev_per_cell": -86.7,
  "spacegroup": "R-3m, No. 166",
  "formation_energy_uncorrected_ev_per_atom": -1.703,
  "volume_a3_per_cell": 372.1,
  "cell": [[-6.6411, -4.2288, -2.0204], [4.5529, -5.2095, -4.0619], [1.5642, 1.6248, 7.8079]],
  "species": ["Li", "Li", "Li", "Li", "Y", "Y", "Y", "Er", "Se", "Se", "Se", "Se", "Se", "Se", "Se", "Se"],
  "frac_coords": [[0.5000, 0.0000, 0.0000], [0.5000, 0.0000, 0.5000], [0.0000, 0.0000, 0.0000], [0.0000, 0.0000, 0.5000], [0.5000, 0.5000, 0.0000], [0.5000, 0.5000, 0.5000], [0.0000, 0.5000, 0.5000], [0.0000, 0.5000, 0.0000], [0.2500, 0.7527, 0.0031], [0.2500, 0.7527, 0.5000], [0.2486, 0.2461, 0.4972], [0.7532, 0.7527, 0.0031], [0.2468, 0.2473, 0.9969], [0.7514, 0.7539, 0.5028], [0.7500, 0.2473, 0.5000], [0.7500, 0.2473, 0.9969]]
}

=====

# 2
{
  "formula": "TaMn2In",
  "functional": "PBE",
  "state": "optimized geometry",
  "dft_energy_ev_per_cell": -32.0,
  "spacegroup": "I-4m2, No. 119",
  "formation_energy_ev_per_atom": 0.2207,
  "volume_a3_per_cell": 62.9,
  "cell": [[5.1260, 0.0068, 0.0000], [2.3127, 4.5746, 0.0000], [-3.7193, -2.2907, 2.6823]],
  "species": ["In", "Mn", "Mn", "Ta"],
  "frac_coords": [[0.7500, 0.2500, 0.5000], [0.0000, 0.0000, 0.0000], [0.2500, 0.7500, 0.5000], [0.5000, 0.5000, 0.0000]]
}

=====

# 3
{
  "formula": "AcPm2Pr4Er",
  "functional": "PBE",
  "state": "optimized geometry",
  "dft_energy_ev_per_cell": -37.1,
  "spacegroup": "Pmmm, No. 47",
  "formation_energy_ev_per_atom": 0.0197,
  "volume_a3_per_cell": 288.1,
  "cell": [[-4.7747, -1.3214, -1.7546], [0.1429, -4.3494, 2.8867], [-4.2342, 0.8271, 10.8996]],
  "species": ["Ac", "Pm", "Pm", "Pr", "Pr", "Pr", "Pr", "Er"],
  "frac_coords": [[0.5000, 0.5000, 0.0000], [0.0000, 0.0000, 0.0000], [0.5000, 0.0000, 0.5000], [0.0000, 0.7581, 0.7418], [0.0000, 0.2419, 0.2582], [0.5000, 0.7424, 0.2582], [0.5000, 0.2576, 0.7418], [0.0000, 0.5000, 0.5000]]
}

=====

# 4
{
  "formula": "YAuClO2",
  "functional": "PBE",
  "state": "optimized geometry",
  "dft_energy_ev_per_cell": -26.0,
  "spacegroup": "P4/mmm, No. 123",
  "formation_energy_uncorrected_ev_per_atom": -0.902,
  "volume_a3_per_cell": 128.0,
  "cell": [[-0.4259, 2.4874, -3.3073], [-6.6774, 2.0651, 2.4131], [1.7354, 3.1256, 2.1273]],
  "species": ["Y", "Au", "O", "O", "Cl"],
  "frac_coords": [[0.0000, 0.0000, 0.0000], [0.0000, 0.5000, 0.0000], [0.0000, 0.0000, 0.5000], [0.5000, 0.0000, 0.0000], [0.5000, 0.5000, 0.5000]]
}

=====

# 5
{
  "formula": "ReSi2PtAu",
  "functional": "PBE",
  "state": "optimized geometry",
  "dft_energy_ev_per_cell": -27.7,
  "spacegroup": "P4/mmm, No. 123",
  "formation_energy_uncorrected_ev_per_atom": 0.991,
  "volume_a3_per_cell": 106.1,
  "cell": [[4.5489, 0.0000, 0.0000], [0.0000, 5.1262, 0.0000], [0.0000, 0.0000, 4.5489]],
  "species": ["Re", "Si", "Si", "Au", "Pt"],
  "frac_coords": [[0.0000, 0.0000, 0.0000], [0.0000, 0.0000, 0.5000], [0.5000, 0.0000, 0.0000], [0.0000, 0.5000, 0.0000], [0.5000, 0.5000, 0.5000]]
}

=====

# 6
{
  "formula": "Ti8GeAs2",
  "functional": "PBE",
  "state": "optimized geometry",
  "dft_energy_ev_per_cell": -81.8,
  "spacegroup": "C2/m, No. 12",
  "formation_energy_ev_per_atom": -0.4293,
  "volume_a3_per_cell": 185.9,
  "cell": [[4.8268, -0.1709, -0.2565], [-1.0457, 6.7042, -0.3974], [-1.0457, -2.9488, 6.0340]],
  "species": ["Ti", "Ti", "Ti", "Ti", "Ti", "Ti", "Ti", "Ti", "Ge", "As", "As"],
  "frac_coords": [[0.8803, 0.9135, 0.6880], [0.8803, 0.6880, 0.9135], [0.3100, 0.5968, 0.5968], [0.5000, 0.7692, 0.2308], [0.5000, 0.2308, 0.7692], [0.6900, 0.4032, 0.4032], [0.1197, 0.3120, 0.0865], [0.1197, 0.0865, 0.3120], [0.5000, 0.0000, 0.0000], [0.0000, 0.3058, 0.6942], [0.0000, 0.6942, 0.3058]]
}